Density functional theory data (GGA-PBE) for crystalline AcCe2Zn2Au2 at its relaxed geometry.

Results
calculated volume	24.1	Å³ per atom
calculated total energy	-4.0628	eV per atom

a = 4.5750 Å, b = 4.5750 Å, c = 27.8755 Å
α = 90.00°, β = 90.00°, γ = 120.00°
Closest atoms and distances in Å follow each position.
Space group R-3m (No. 166, hexagonal axes)
Asymmetric unit:
Ac1 0.0000 0.0000 0.0000 (multiplicity 3)  6 Au 3.44, 6 Zn 3.45
Ce1 0.0000 0.0000 0.1395 (multiplicity 6)  3 Ce 3.04, 4 Zn 3.12-3.18, 3 Au 3.13
Zn1 0.0000 0.0000 0.2536 (multiplicity 6)  3 Au 2.64
Au1 0.0000 0.0000 0.4125 (multiplicity 6)  3 Zn 2.64

---

Density functional theory data (GGA-PBE) for crystalline Na2Pa3Te6 at its relaxed geometry.

Results
calculated volume	34.4	Å³ per atom
calculated total energy	-5.3875	eV per atom
uncorrected formation energy	-0.8442	eV/atom

a = 7.4524 Å, b = 12.9094 Å, c = 8.2541 Å
α = 90.00°, β = 107.60°, γ = 90.00°
Closest atoms and distances in Å follow each position.
Space group C2/m (No. 12)
Asymmetric unit:
Na1 0.0000 0.1660 0.0000 (multiplicity 4)  6 Te 3.24
Pa1 0.0000 0.0000 0.5000 (multiplicity 2)  6 Te 3.10-3.13
Pa2 0.0000 0.3321 0.5000 (multiplicity 4)  6 Te 3.10-3.13
Te1 0.2422 0.5000 0.7370 (multiplicity 4)  3 Pa 3.11-3.13, 2 Na 3.24
Te2 0.2487 0.1647 0.7390 (multiplicity 8)  3 Pa 3.10-3.13, 2 Na 3.24

---

Density functional theory data (GGA-PBE) for crystalline In2NiMo at its relaxed geometry.

Results
distance to the lowest polymorph of the same formula	163	meV/atom
calculated volume	17.3	Å³ per atom
calculated total energy	-5.1566	eV per atom

a = 6.5232 Å, b = 6.5232 Å, c = 6.5232 Å
α = 90.00°, β = 90.00°, γ = 90.00°
Closest atoms and distances in Å follow each position.
Space group Fm-3m (No. 225)
Asymmetric unit:
In1 0.2500 0.2500 0.2500 (multiplicity 8)  4 Mo 2.82, 4 Ni 2.82
Ni1 0.0000 0.0000 0.0000 (multiplicity 4)  8 In 2.82
Mo1 0.0000 0.0000 0.5000 (multiplicity 4)  8 In 2.82